(1)
Computed, not measured: crystalline SbN at its relaxed geometry at the GGA-PBE level of DFT.

The total energy comes out at -5.8309 eV/atom. The calculation puts the energy above the most stable polymorph in this dataset at 47.5 meV/atom. The crystal system is triclinic. For the formation energy without anion corrections, the calculation gives 0.393 eV per atom. Its symmetry is No. 1.

Cell: 3.3046 4.1104 6.1059 Å, 90.69 91.81 90.00°
Fractional positions:
Sb1 0.6391 0.7820 0.9485
Sb2 0.1162 0.2748 0.5487
N1 0.6210 0.9827 0.6315
N2 0.1344 0.4869 0.8660

***

(2)
Computed, not measured: crystalline SiBiSbI2 at its relaxed geometry at the GGA-PBE level of DFT.

The total energy comes out at -2.4398 eV/atom. The calculation puts the energy above the most stable polymorph in this dataset at 427.4 meV/atom. The crystal system is tetragonal. As for the density of states at the Fermi level: 3.6 states/eV per cell. For the formation energy without anion corrections, the calculation gives 0.866 eV per atom. Its symmetry is No. 123.

Cell: 6.0645 6.0645 6.0719 Å, 90.00 90.00 90.00°
Last column: magnetic moment on the atom in μB.
Fractional positions:
I1 0.0000 0.5000 0.0000  -0.03
I2 0.5000 0.0000 0.0000  -0.03
Sb1 0.0000 0.0000 0.5000  -0.39
Si1 0.5000 0.5000 0.5000  0.37
Bi1 0.0000 0.0000 0.0000  0.11

***

(3)
Computed, not measured: crystalline U2TiAs3 at its relaxed geometry at the GGA-PBE level of DFT.

The total energy comes out at -8.1569 eV/atom. The crystal system is hexagonal. As for the density of states at the Fermi level: 15.3 states/eV per cell. The value obtained for the calculated formation energy is -0.7536 eV/atom. Its symmetry is No. 194.

Cell: 3.8886 3.8886 19.9449 Å, 90.00 90.00 120.00°
Last column: magnetic moment on the atom in μB.
Fractional positions:
U1 0.3333 0.6667 0.9089  2.31
U2 0.6667 0.3333 0.0911  2.31
U3 0.6667 0.3333 0.4089  2.31
U4 0.3333 0.6667 0.5911  2.31
Ti1 0.0000 0.0000 0.2500  -0.15
Ti2 0.0000 0.0000 0.7500  -0.15
As1 0.0000 0.0000 0.0000  -0.07
As2 0.3333 0.6667 0.1784  -0.03
As3 0.3333 0.6667 0.3216  -0.03
As4 0.0000 0.0000 0.5000  -0.07
As5 0.6667 0.3333 0.6784  -0.03
As6 0.6667 0.3333 0.8216  -0.03

***

Repeat the second record exactly.
Computed, not measured: crystalline SiBiSbI2 at its relaxed geometry at the GGA-PBE level of DFT.

The total energy comes out at -2.4398 eV/atom. The calculation puts the energy above the most stable polymorph in this dataset at 427.4 meV/atom. The crystal system is tetragonal. As for the density of states at the Fermi level: 3.6 states/eV per cell. For the formation energy without anion corrections, the calculation gives 0.866 eV per atom. Its symmetry is No. 123.

Cell: 6.0645 6.0645 6.0719 Å, 90.00 90.00 90.00°
Last column: magnetic moment on the atom in μB.
Fractional positions:
I1 0.0000 0.5000 0.0000  -0.03
I2 0.5000 0.0000 0.0000  -0.03
Sb1 0.0000 0.0000 0.5000  -0.39
Si1 0.5000 0.5000 0.5000  0.37
Bi1 0.0000 0.0000 0.0000  0.11

***

Please write out number 2 again, unchanged.
Computed, not measured: crystalline SiBiSbI2 at its relaxed geometry at the GGA-PBE level of DFT.

The total energy comes out at -2.4398 eV/atom. The calculation puts the energy above the most stable polymorph in this dataset at 427.4 meV/atom. The crystal system is tetragonal. As for the density of states at the Fermi level: 3.6 states/eV per cell. For the formation energy without anion corrections, the calculation gives 0.866 eV per atom. Its symmetry is No. 123.

Cell: 6.0645 6.0645 6.0719 Å, 90.00 90.00 90.00°
Last column: magnetic moment on the atom in μB.
Fractional positions:
I1 0.0000 0.5000 0.0000  -0.03
I2 0.5000 0.0000 0.0000  -0.03
Sb1 0.0000 0.0000 0.5000  -0.39
Si1 0.5000 0.5000 0.5000  0.37
Bi1 0.0000 0.0000 0.0000  0.11